Entry from Alexandria via LeMat-Bulk: a geometry-optimized CsHgAs structure (PBE).

Summary:
Formation enthalpy at 0 K, eV per atom: -0.355

Cell: 4.6668 4.6668 5.8337 Å, 90.00 90.00 120.00°
Last column: nearest neighbours and their distance in Å.
Positions (direct):
Cs 0.0000 0.0000 0.0000  6 Hg 3.97, 6 As 3.97
Hg 0.3333 0.6667 0.5000  3 As 2.69
As 0.6667 0.3333 0.5000  3 Hg 2.69